Compound: Zr5Pt3
Source: the Alexandria database
Functional: SCAN
Structure: PBEsol geometry

- symmetry = I4/mcm, No. 140
- ΔH_f (0 K) (eV per atom) = -1.08

Cell lengths 5.3924, 8.0042, 8.0042 Å; angles 83.48, 70.31, 70.31 degrees
Last column: nearest neighbours and their distance in Å.
Fractional positions:
Pt (0.7500, 0.0000, 0.0000)  2 Pt 2.70, 8 Zr 2.80
Pt (0.6656, 0.1689, 0.5000)  6 Zr 2.77-2.90
Pt (0.2500, 0.0000, 0.0000)  2 Pt 2.70, 8 Zr 2.80
Pt (0.8344, 0.5000, 0.8311)  6 Zr 2.77-2.90
Pt (0.1656, 0.5000, 0.1689)  6 Zr 2.77-2.90
Pt (0.3344, 0.8311, 0.5000)  6 Zr 2.77-2.90
Zr (0.2500, 0.5000, 0.5000)  2 Zr 2.70, 4 Pt 2.84
Zr (0.4206, 0.2961, 0.8627)  4 Pt 2.77-2.90, 1 Zr 3.07
Zr (0.0794, 0.1373, 0.7039)  4 Pt 2.77-2.90, 1 Zr 3.07
Zr (0.2167, 0.7039, 0.8627)  4 Pt 2.77-2.90, 1 Zr 3.07
Zr (0.5794, 0.7039, 0.1373)  4 Pt 2.77-2.90, 1 Zr 3.07
Zr (0.7833, 0.2961, 0.1373)  4 Pt 2.77-2.90, 1 Zr 3.07
Zr (0.9206, 0.8627, 0.2961)  4 Pt 2.77-2.90, 1 Zr 3.07
Zr (0.7500, 0.5000, 0.5000)  2 Zr 2.70, 4 Pt 2.84
Zr (0.2833, 0.1373, 0.2961)  4 Pt 2.77-2.90, 1 Zr 3.07
Zr (0.7167, 0.8627, 0.7039)  4 Pt 2.77-2.90, 1 Zr 3.07

=====

Compound: ZrPt2
Source: the Alexandria database
Functional: SCAN
Structure: PBEsol geometry

- symmetry = Pnma, No. 62
- ΔH_f (0 K) (eV per atom) = -1.21

Cell lengths 4.1006, 5.6774, 8.6172 Å; angles 90.00, 90.00, 90.00 degrees
Last column: nearest neighbours and their distance in Å.
Fractional positions:
Pt (0.2500, 0.6215, 0.2633)  5 Zr 2.77-2.94, 7 Pt 2.82-3.03
Pt (0.2500, 0.1456, 0.5737)  5 Zr 2.78-2.91, 7 Pt 2.82-3.03
Pt (0.7500, 0.8544, 0.4263)  5 Zr 2.78-2.91, 7 Pt 2.82-3.03
Pt (0.7500, 0.8785, 0.7633)  5 Zr 2.77-2.94, 7 Pt 2.82-3.03
Pt (0.7500, 0.3785, 0.7367)  5 Zr 2.77-2.94, 7 Pt 2.82-3.03
Pt (0.2500, 0.6456, 0.9263)  5 Zr 2.78-2.91, 7 Pt 2.82-3.03
Pt (0.7500, 0.3544, 0.0737)  5 Zr 2.78-2.91, 7 Pt 2.82-3.03
Pt (0.2500, 0.1215, 0.2367)  5 Zr 2.77-2.94, 7 Pt 2.82-3.03
Zr (0.7500, 0.8437, 0.1042)  10 Pt 2.77-2.94
Zr (0.7500, 0.3437, 0.3958)  10 Pt 2.77-2.94
Zr (0.2500, 0.6563, 0.6042)  10 Pt 2.77-2.94
Zr (0.2500, 0.1563, 0.8958)  10 Pt 2.77-2.94

=====

Question: Among the records above, which one has the lowest ΔH_f (0 K)?
Answer: ZrPt2